P) ## AlTc2Cl (PBE-GGA)

Data for AlTc2Cl after structural relaxation.

a b c (Å): 2.966 2.966 7.561
angles (deg): 90.00 90.00 90.00
Element x y z (fractional)
Al: 0.000 0.000 0.438
Tc: 0.000 0.000 0.028
Tc: 0.500 0.500 0.238
Cl: 0.500 0.500 0.796



Q) ## AlTc2Cl (PBE-GGA)

Data for AlTc2Cl after structural relaxation.

a b c (Å): 2.997 2.997 6.523
angles (deg): 90.00 90.00 90.00
Element x y z (fractional)
Al: 0.500 0.500 0.250
Tc: 0.000 0.000 0.015
Tc: 0.000 0.000 0.485
Cl: 0.500 0.500 0.750



R) ## AlTc2Cl (PBE-GGA)

Data for AlTc2Cl after structural relaxation.

a b c (Å): 4.352 4.352 4.352
angles (deg): 60.00 60.00 60.00
Element x y z (fractional)
Al: 0.000 0.000 0.000
Tc: 0.250 0.250 0.250
Tc: 0.750 0.750 0.750
Cl: 0.500 0.500 0.500



S) ## AlTc2Cl (PBE-GGA)

Data for AlTc2Cl after structural relaxation.

a b c (Å): 5.394 5.394 5.394
angles (deg): 148.21 133.46 57.46
Element x y z (fractional)
Al: 0.511 0.511 0.000
Tc: 0.985 0.985 0.000
Tc: 0.229 0.729 0.500
Cl: 0.776 0.276 0.500



So which one wins? Going from most stable to least: P), Q), S), R).